No. 1
## LiGa4Ir5 (PBE)

Data for crystalline LiGa4Ir5 at its relaxed geometry.

Computed properties:
Energy relative to the elements = -355.9 kJ/mol of formula units
Density of states at the Fermi level = 4.70 states/eV/f.u.
Density = 14.9 g/cm3

```
LiGa4Ir5
1.0
-1.767 0.461 2.433
-1.206 -2.770 -0.352
10.656 -5.762 8.834
Ir Ga Li
5 4 1
direct
0.500 0.500 0.703 Ir
0.500 0.500 0.905 Ir
0.500 0.500 0.297 Ir
0.500 0.500 0.500 Ir
0.500 0.500 0.095 Ir
0.000 0.000 0.396 Ga
0.000 0.000 0.813 Ga
0.000 0.000 0.604 Ga
0.000 0.000 0.187 Ga
0.000 0.000 0.000 Li
```

=====

No. 2
## Li4GaIr (PBE)

Data for crystalline Li4GaIr at its relaxed geometry.

Computed properties:
Energy relative to the elements = -124.5 kJ/mol of formula units
Density of states at the Fermi level = 1.84 states/eV/f.u.
Density = 5.6 g/cm3

```
Li4GaIr
1.0
4.435 0.000 0.000
0.000 7.864 -2.260
0.000 -5.125 6.396
Ir Li Ga
2 8 2
direct
0.000 0.000 0.000 Ir
0.000 0.500 0.500 Ir
0.000 0.914 0.590 Li
0.500 0.177 0.333 Li
0.000 0.086 0.410 Li
0.500 0.677 0.833 Li
0.500 0.823 0.667 Li
0.500 0.323 0.167 Li
0.000 0.414 0.090 Li
0.000 0.586 0.910 Li
0.500 0.250 0.750 Ga
0.500 0.750 0.250 Ga
```

=====

No. 3
## Li6Ga2Ir (PBE)

Data for crystalline Li6Ga2Ir at its relaxed geometry.

Computed properties:
Energy relative to the elements = -236.4 kJ/mol of formula units
Density of states at the Fermi level = 3.09 states/eV/f.u.
Density = 4.5 g/cm3

```
Li6Ga2Ir
1.0
-3.749 0.478 1.645
0.817 -4.322 3.116
3.867 5.515 2.048
Ir Li Ga
1 6 2
direct
0.500 0.500 0.000 Ir
0.848 0.534 0.697 Li
0.597 0.146 0.194 Li
0.403 0.854 0.806 Li
0.152 0.466 0.303 Li
0.706 0.821 0.412 Li
0.294 0.179 0.588 Li
0.942 0.185 0.884 Ga
0.058 0.815 0.116 Ga
```

=====

No. 4
## Li5Ga2Ir (PBE)

Data for crystalline Li5Ga2Ir at its relaxed geometry.

Computed properties:
Energy relative to the elements = -231.8 kJ/mol of formula units
Density of states at the Fermi level = 3.72 states/eV/f.u.
Density = 5.1 g/cm3

```
Li5Ga2Ir
1.0
-3.373 0.482 -2.222
-0.725 -5.384 -0.068
-5.827 0.671 8.990
Li Ir Ga
10 2 4
direct
0.000 0.093 0.247 Li
0.500 0.292 0.371 Li
0.000 0.407 0.747 Li
0.500 0.708 0.629 Li
0.000 0.500 0.500 Li
0.000 0.593 0.253 Li
0.500 0.792 0.129 Li
0.000 0.907 0.753 Li
0.000 0.000 0.000 Li
0.500 0.208 0.871 Li
0.000 0.000 0.500 Ir
0.000 0.500 0.000 Ir
0.500 0.315 0.111 Ga
0.500 0.185 0.611 Ga
0.500 0.685 0.889 Ga
0.500 0.815 0.389 Ga
```

=====

No. 5
## Li3Ga4Ir2 (PBE)

Data for crystalline Li3Ga4Ir2 at its relaxed geometry.

Computed properties:
Energy relative to the elements = -437.2 kJ/mol of formula units
Density of states at the Fermi level = 2.77 states/eV/f.u.
Density = 8.9 g/cm3

```
Li3Ga4Ir2
1.0
4.259 0.000 0.000
-2.130 3.673 0.332
0.000 -0.732 8.105
Ga Li Ir
4 3 2
direct
0.667 0.333 0.109 Ga
0.333 0.667 0.891 Ga
0.000 0.000 0.328 Ga
0.000 0.000 0.672 Ga
0.667 0.333 0.442 Li
0.000 0.000 0.000 Li
0.333 0.667 0.558 Li
0.667 0.333 0.788 Ir
0.333 0.667 0.212 Ir
```

=====

No. 6
## Li5Ga8Ir (PBE)

Data for crystalline Li5Ga8Ir at its relaxed geometry.

Computed properties:
Energy relative to the elements = -282.5 kJ/mol of formula units
Density of states at the Fermi level = 6.01 states/eV/f.u.
Density = 5.6 g/cm3

```
Li5Ga8Ir
1.0
6.728 -0.121 0.208
-2.390 6.290 -0.208
-1.947 -3.240 5.570
Ga Li Ir
8 5 1
direct
0.828 0.232 0.399 Ga
0.238 0.245 0.333 Ga
0.007 0.095 0.762 Ga
0.403 0.571 0.172 Ga
0.167 0.768 0.597 Ga
0.601 0.429 0.833 Ga
0.088 0.755 0.993 Ga
0.667 0.905 0.912 Ga
0.892 0.830 0.294 Li
0.939 0.402 0.108 Li
0.706 0.598 0.537 Li
0.500 0.000 0.500 Li
0.463 0.170 0.061 Li
0.250 0.500 0.750 Ir
```

=====

No. 7
## LiGaIr2 (PBE)

Data for crystalline LiGaIr2 at its relaxed geometry.

Computed properties:
Energy relative to the elements = -118.4 kJ/mol of formula units
Density of states at the Fermi level = 3.39 states/eV/f.u.
Density = 13.8 g/cm3

```
LiGaIr2
1.0
8.239 0.000 0.000
0.000 2.821 0.000
0.000 0.000 4.786
Li Ir Ga
2 4 2
direct
0.500 0.000 0.780 Li
0.000 0.500 0.280 Li
0.257 0.000 0.121 Ir
0.743 0.000 0.121 Ir
0.243 0.500 0.621 Ir
0.757 0.500 0.621 Ir
0.000 0.000 0.788 Ga
0.500 0.500 0.288 Ga
```

=====

No. 8
## LiGaIr (PBE)

Data for crystalline LiGaIr at its relaxed geometry.

Computed properties:
Energy relative to the elements = -108.6 kJ/mol of formula units
Density of states at the Fermi level = 1.24 states/eV/f.u.
Density = 10.4 g/cm3

```
LiGaIr
1.0
4.393 0.000 0.000
-2.196 3.804 0.000
0.000 0.000 5.143
Ir Ga Li
2 2 2
direct
0.333 0.667 0.250 Ir
0.667 0.333 0.750 Ir
0.667 0.333 0.250 Ga
0.333 0.667 0.750 Ga
0.000 0.000 0.500 Li
0.000 0.000 0.000 Li
```

=====

No. 9
## LiGaIr (PBE)

Data for crystalline LiGaIr at its relaxed geometry.

Computed properties:
Energy relative to the elements = -108.7 kJ/mol of formula units
Density of states at the Fermi level = 0.91 states/eV/f.u.
Density = 11.1 g/cm3

```
LiGaIr
1.0
-1.992 1.922 -0.318
-0.915 -0.291 3.968
2.799 2.693 -1.257
Ir Ga Li
1 1 1
direct
0.996 0.000 0.000 Ir
0.587 0.333 0.667 Ga
0.418 0.667 0.333 Li
```

=====

No. 10
## Li5GaIr2 (PBE)

Data for crystalline Li5GaIr2 at its relaxed geometry.

Computed properties:
Energy relative to the elements = -157.5 kJ/mol of formula units
Density of states at the Fermi level = 2.67 states/eV/f.u.
Density = 7.4 g/cm3

```
Li5GaIr2
1.0
3.106 0.000 0.000
0.000 5.905 0.000
0.000 0.000 11.932
Li Ga Ir
10 2 4
direct
0.500 0.276 0.370 Li
0.000 0.980 0.748 Li
0.500 0.776 0.130 Li
0.000 0.500 0.500 Li
0.000 0.020 0.252 Li
0.500 0.724 0.630 Li
0.000 0.000 0.000 Li
0.000 0.520 0.248 Li
0.000 0.480 0.752 Li
0.500 0.224 0.870 Li
0.000 0.000 0.500 Ga
0.000 0.500 0.000 Ga
0.500 0.770 0.381 Ir
0.500 0.230 0.619 Ir
0.500 0.270 0.119 Ir
0.500 0.730 0.881 Ir
```

=====

No. 11
## Li12GaIr6 (PBE)

Data for crystalline Li12GaIr6 at its relaxed geometry.

Computed properties:
Energy relative to the elements = -97.7 kJ/mol of formula units
Density of states at the Fermi level = 12.90 states/eV/f.u.
Density = 8.2 g/cm3

```
Li12GaIr6
1.0
-0.143 6.130 -2.239
-5.059 -2.485 -3.293
-2.817 0.896 5.820
Li Ir Ga
12 6 1
direct
0.418 0.821 0.418 Li
0.179 0.582 0.582 Li
0.258 0.742 0.000 Li
0.000 0.258 0.742 Li
0.418 0.418 0.821 Li
0.742 0.258 0.000 Li
0.582 0.582 0.179 Li
0.258 0.000 0.742 Li
0.582 0.179 0.582 Li
0.000 0.742 0.258 Li
0.821 0.418 0.418 Li
0.742 0.000 0.258 Li
0.858 0.595 0.858 Ir
0.142 0.142 0.405 Ir
0.405 0.142 0.142 Ir
0.595 0.858 0.858 Ir
0.142 0.405 0.142 Ir
0.858 0.858 0.595 Ir
0.000 0.000 0.000 Ga
```

=====

No. 12
## LiGaIr2 (PBE)

Data for crystalline LiGaIr2 at its relaxed geometry.

Computed properties:
Energy relative to the elements = -79.6 kJ/mol of formula units
Density of states at the Fermi level = 2.79 states/eV/f.u.
Density = 13.3 g/cm3

```
LiGaIr2
1.0
-1.052 0.744 -2.530
0.643 -1.520 -2.310
-6.722 -5.062 -0.296
Ga Ir Li
1 2 1
direct
0.667 0.667 0.000 Ga
0.254 0.254 0.239 Ir
0.080 0.080 0.761 Ir
0.500 0.500 0.500 Li
```

=====

No. 13
## Li4Ga9Ir (PBE)

Data for crystalline Li4Ga9Ir at its relaxed geometry.

Computed properties:
Energy relative to the elements = -273.7 kJ/mol of formula units
Density of states at the Fermi level = 4.06 states/eV/f.u.
Density = 6.1 g/cm3

```
Li4Ga9Ir
1.0
8.134 0.000 0.000
0.000 6.999 -4.041
0.000 0.000 8.082
Ga Li Ir
18 8 2
direct
0.750 0.525 0.050 Ga
0.025 0.409 0.204 Ga
0.250 0.475 0.950 Ga
0.525 0.204 0.409 Ga
0.025 0.796 0.591 Ga
0.975 0.591 0.796 Ga
0.750 0.950 0.475 Ga
0.250 0.475 0.525 Ga
0.975 0.204 0.796 Ga
0.975 0.204 0.409 Ga
0.475 0.409 0.204 Ga
0.525 0.591 0.796 Ga
0.750 0.525 0.475 Ga
0.250 0.050 0.525 Ga
0.475 0.796 0.591 Ga
0.525 0.204 0.796 Ga
0.025 0.796 0.204 Ga
0.475 0.796 0.204 Ga
0.750 0.880 0.760 Li
0.750 0.880 0.120 Li
0.250 0.120 0.240 Li
0.000 0.000 0.000 Li
0.750 0.240 0.120 Li
0.250 0.120 0.880 Li
0.500 0.000 0.000 Li
0.250 0.760 0.880 Li
0.250 0.667 0.333 Ir
0.750 0.333 0.667 Ir
```

=====

No. 14
## Li2Ga3Ir (PBE)

Data for crystalline Li2Ga3Ir at its relaxed geometry.

Computed properties:
Energy relative to the elements = -218.6 kJ/mol of formula units
Density of states at the Fermi level = 2.05 states/eV/f.u.
Density = 7.8 g/cm3

```
Li2Ga3Ir
1.0
2.239 -6.926 0.000
2.239 6.926 0.000
0.000 0.000 5.667
Ir Li Ga
2 4 6
direct
0.349 0.651 0.000 Ir
0.651 0.349 0.000 Ir
0.659 0.341 0.500 Li
0.000 0.000 0.000 Li
0.341 0.659 0.500 Li
0.000 0.000 0.500 Li
0.176 0.824 0.754 Ga
0.500 0.500 0.746 Ga
0.500 0.500 0.254 Ga
0.176 0.824 0.246 Ga
0.824 0.176 0.754 Ga
0.824 0.176 0.246 Ga
```

=====

No. 15
## Li3Ga3Ir (PBE)

Data for crystalline Li3Ga3Ir at its relaxed geometry.

Computed properties:
Energy relative to the elements = -194.2 kJ/mol of formula units
Density of states at the Fermi level = 2.70 states/eV/f.u.
Density = 6.8 g/cm3

```
Li3Ga3Ir
1.0
4.310 0.000 0.000
0.000 7.410 0.000
0.000 -3.705 6.417
Ga Li Ir
6 6 2
direct
0.250 0.536 0.907 Ga
0.750 0.464 0.093 Ga
0.250 0.093 0.629 Ga
0.250 0.371 0.464 Ga
0.750 0.629 0.536 Ga
0.750 0.907 0.371 Ga
0.250 0.248 0.056 Li
0.750 0.056 0.808 Li
0.750 0.192 0.248 Li
0.250 0.808 0.752 Li
0.750 0.752 0.944 Li
0.250 0.944 0.192 Li
0.250 0.667 0.333 Ir
0.750 0.333 0.667 Ir
```

=====

No. 16
## LiGaIr (PBE)

Data for crystalline LiGaIr at its relaxed geometry.

Computed properties:
Energy relative to the elements = -48.7 kJ/mol of formula units
Density of states at the Fermi level = 0.98 states/eV/f.u.
Density = 9.3 g/cm3

```
LiGaIr
1.0
-1.177 -2.814 -2.717
3.887 0.143 1.247
-1.222 -0.268 3.893
Ga Ir Li
1 1 1
direct
0.445 0.222 0.667 Ga
0.944 0.472 0.416 Ir
0.945 0.972 0.917 Li
```

=====

No. 17
## LiGaIr2 (PBE)

Data for crystalline LiGaIr2 at its relaxed geometry.

Computed properties:
Energy relative to the elements = -113.0 kJ/mol of formula units
Density of states at the Fermi level = 2.43 states/eV/f.u.
Density = 13.7 g/cm3

```
LiGaIr2
1.0
-2.061 4.947 -0.672
-4.048 -1.706 -0.148
-0.373 0.480 4.676
Li Ga Ir
2 2 4
direct
0.254 0.500 0.978 Li
0.746 0.500 0.978 Li
0.000 0.500 0.501 Ga
0.500 0.000 0.812 Ga
0.248 0.000 0.311 Ir
0.752 0.000 0.311 Ir
0.500 0.500 0.471 Ir
0.000 0.000 0.826 Ir
```

=====

No. 18
## LiGa3Ir (PBE)

Data for crystalline LiGa3Ir at its relaxed geometry.

Computed properties:
Energy relative to the elements = -127.3 kJ/mol of formula units
Density of states at the Fermi level = 2.02 states/eV/f.u.
Density = 7.6 g/cm3

```
LiGa3Ir
1.0
6.513 -0.260 0.000
2.176 4.762 0.000
0.000 0.000 5.625
Li Ga Ir
2 6 2
direct
0.886 0.324 0.052 Li
0.674 0.641 0.552 Li
0.088 0.694 0.296 Ga
0.472 0.272 0.309 Ga
0.130 0.202 0.552 Ga
0.088 0.694 0.809 Ga
0.472 0.272 0.796 Ga
0.430 0.764 0.052 Ga
0.820 0.061 0.552 Ir
0.741 0.905 0.052 Ir
```

=====

No. 19
## LiGaIr2 (PBE)

Data for crystalline LiGaIr2 at its relaxed geometry.

Computed properties:
Energy relative to the elements = -102.6 kJ/mol of formula units
Density of states at the Fermi level = 3.31 states/eV/f.u.
Density = 14.3 g/cm3

```
LiGaIr2
1.0
3.021 0.000 0.000
0.000 4.205 0.000
0.000 0.000 4.205
Ir Ga Li
2 1 1
direct
0.000 0.000 0.500 Ir
0.000 0.500 0.000 Ir
0.500 0.000 0.000 Ga
0.500 0.500 0.500 Li
```

=====

No. 20
## LiGaIr2 (PBE)

Data for crystalline LiGaIr2 at its relaxed geometry.

Computed properties:
Energy relative to the elements = 40.8 kJ/mol of formula units
Density of states at the Fermi level = 3.66 states/eV/f.u.
Density = 11.8 g/cm3

```
LiGaIr2
1.0
4.859 -1.779 -2.857
-1.696 4.889 2.857
-3.469 0.366 4.771
Ir Ga Li
2 1 1
direct
0.000 0.280 0.280 Ir
0.000 0.720 0.720 Ir
0.000 0.500 0.500 Ga
0.000 0.000 0.000 Li
```